Record 1
Entry from Alexandria: a crystal of KBe2Se relaxed with PBEsol (meta-GGA SCAN).

Properties
spin magnetization	0.64	μB/f.u.
volume	262.03	Å³/cell
ΔE_f (raw)	478	meV/atom

```
data_KBe2Se
_cell_length_a 3.5560
_cell_length_b 3.5560
_cell_length_c 23.9272
_cell_angle_alpha 90.00
_cell_angle_beta 90.00
_cell_angle_gamma 120.00
_space_group_name_H-M_alt 'R -3 m'
_space_group_IT_number 166
_space_group_name_Hall '-R 3 2"'
loop_
_atom_site_label
_atom_site_fract_x
_atom_site_fract_y
_atom_site_fract_z
K1 0.0000 0.0000 0.0000
Be1 0.0000 0.0000 0.2185
Se1 0.0000 0.0000 0.5000
```

***

Record 2
Entry from Alexandria: a crystal of Ta2AlCu relaxed with PBEsol (meta-GGA SCAN).

Properties
spin magnetization	0.00	μB/f.u.
volume	123.78	Å³/cell
formation energy	-0.074	eV/atom

```
data_Ta2AlCu
_cell_length_a 10.078
_cell_length_b 2.966
_cell_length_c 4.642
_cell_angle_alpha 90.00
_cell_angle_beta 116.85
_cell_angle_gamma 90.00
_space_group_name_H-M_alt 'C 1 m 1'
_space_group_IT_number 8
loop_
_space_group_symop_operation_xyz
'x,y,z'
'x,-y,z'
'x+1/2,y+1/2,z'
'x+1/2,-y+1/2,z'
loop_
_atom_site_label
_atom_site_fract_x
_atom_site_fract_y
_atom_site_fract_z
Ta1 0.000 0.000 0.000
Ta2 0.232 0.000 0.744
Al1 0.461 0.000 0.461
Cu1 0.246 0.500 0.261
```

***

Record 3
Entry from Alexandria: a crystal of La2GaCl relaxed with PBEsol (meta-GGA SCAN).

Properties
spin magnetization	0.00	μB/f.u.
volume	401.91	Å³/cell
ΔE_f (raw)	-1043	meV/atom

```
data_La2GaCl
_cell_length_a 7.380
_cell_length_b 7.380
_cell_length_c 7.380
_cell_angle_alpha 90.00
_cell_angle_beta 90.00
_cell_angle_gamma 90.00
_space_group_name_H-M_alt 'F m -3 m'
_space_group_IT_number 225
_space_group_name_Hall '-F 4 2 3'
loop_
_atom_site_label
_atom_site_fract_x
_atom_site_fract_y
_atom_site_fract_z
La1 0.250 0.250 0.250
Ga1 0.000 0.000 0.000
Cl1 0.000 0.000 0.500
```

***

Record 4
Entry from Alexandria: a crystal of La2Al relaxed with PBEsol (meta-GGA SCAN).

Properties
spin magnetization	0.00	μB/f.u.
volume	342.26	Å³/cell
formation energy	-0.259	eV/atom

```
data_La2Al
_cell_length_a 13.152
_cell_length_b 3.640
_cell_length_c 7.353
_cell_angle_alpha 90.00
_cell_angle_beta 103.50
_cell_angle_gamma 90.00
_space_group_name_H-M_alt 'C 1 2/m 1'
_space_group_IT_number 12
loop_
_space_group_symop_operation_xyz
'x,y,z'
'-x,-y,-z'
'-x,y,-z'
'x,-y,z'
'x+1/2,y+1/2,z'
'-x+1/2,-y+1/2,-z'
'-x+1/2,y+1/2,-z'
'x+1/2,-y+1/2,z'
loop_
_atom_site_label
_atom_site_fract_x
_atom_site_fract_y
_atom_site_fract_z
La1 0.120 0.000 0.037
La2 0.172 0.000 0.606
Al1 0.015 0.500 0.312
```